Record 1
# InSbTe | Alexandria | PBE | optimized geometry
# ΔE_f (raw)   -29 kJ/mol of formula units
# Uncorrected energy   -3.433 eV per atom
data_InSbTe
_cell_length_a 4.3143
_cell_length_b 6.5641
_cell_length_c 6.9851
_cell_angle_alpha 94.88
_cell_angle_beta 107.90
_cell_angle_gamma 90.12
_symmetry_space_group_name_H-M 'P -1'
_symmetry_Int_Tables_number 2
loop_
_symmetry_equiv_pos_as_xyz
'x,y,z'
'-x,-y,-z'
loop_
_atom_site_label
_atom_site_type_symbol
_atom_site_fract_x
_atom_site_fract_y
_atom_site_fract_z
_atom_site_occupancy
In1 In 0.1624 0.2729 0.3242 1
Sb1 Sb 0.4980 0.7825 0.9977 1
Te1 Te 0.1802 0.7446 0.3600 1



Record 2
# PrNp2FeN4 | Alexandria | PBE | optimized geometry
# ΔE_f (raw)   -800 kJ/mol of formula units
# Uncorrected energy   -10.090 eV per atom
data_PrNp2FeN4
_cell_length_a 3.4509
_cell_length_b 11.4298
_cell_length_c 11.2993
_cell_angle_alpha 90.00
_cell_angle_beta 90.00
_cell_angle_gamma 90.00
_symmetry_space_group_name_H-M 'C m c m'
_symmetry_Int_Tables_number 63
_symmetry_space_group_name_Hall '-C 2c 2'
loop_
_atom_site_label
_atom_site_type_symbol
_atom_site_fract_x
_atom_site_fract_y
_atom_site_fract_z
_atom_site_occupancy
Pr1 Pr 0.0000 0.1016 0.2500 1
Np1 Np 0.0000 0.3692 0.0562 1
Fe1 Fe 0.0000 0.1619 0.7500 1
N1 N 0.0000 0.0000 0.0000 1
N2 N 0.0000 0.2656 0.6115 1
N3 N 0.0000 0.4392 0.2500 1



Record 3
# CsNa2Cu2I6 | Alexandria | PBE | optimized geometry
# ΔE_f (raw)   -793 kJ/mol of formula units
# Uncorrected energy   -2.655 eV per atom
data_CsNa2Cu2I6
_cell_length_a 7.9817
_cell_length_b 8.5046
_cell_length_c 9.0865
_cell_angle_alpha 63.01
_cell_angle_beta 66.74
_cell_angle_gamma 89.71
_symmetry_space_group_name_H-M 'P -1'
_symmetry_Int_Tables_number 2
loop_
_symmetry_equiv_pos_as_xyz
'x,y,z'
'-x,-y,-z'
loop_
_atom_site_label
_atom_site_type_symbol
_atom_site_fract_x
_atom_site_fract_y
_atom_site_fract_z
_atom_site_occupancy
Cs1 Cs 0.0000 0.0000 0.0000 1
Na1 Na 0.0216 0.6954 0.6455 1
Cu1 Cu 0.4168 0.2754 0.3016 1
I1 I 0.2341 0.6344 0.8974 1
I2 I 0.2454 0.4023 0.5040 1
I3 I 0.2740 0.0427 0.2615 1



Record 4
# TlTePd2 | Alexandria | PBE | optimized geometry
# ΔE_f (raw)   -40 kJ/mol of formula units
# Uncorrected energy   -4.076 eV per atom
data_TlTePd2
_cell_length_a 6.8698
_cell_length_b 6.8698
_cell_length_c 6.8698
_cell_angle_alpha 90.00
_cell_angle_beta 90.00
_cell_angle_gamma 90.00
_symmetry_space_group_name_H-M 'F m -3 m'
_symmetry_Int_Tables_number 225
_symmetry_space_group_name_Hall '-F 4 2 3'
loop_
_atom_site_label
_atom_site_type_symbol
_atom_site_fract_x
_atom_site_fract_y
_atom_site_fract_z
_atom_site_occupancy
Tl1 Tl 0.0000 0.0000 0.0000 1
Te1 Te 0.0000 0.0000 0.5000 1
Pd1 Pd 0.2500 0.2500 0.2500 1



Record 5
# AlCrInPb2 | Alexandria | PBE | optimized geometry
# Uncorrected energy   -3.682 eV per atom
# Formation energy   1.0222 eV/atom
data_AlCrInPb2
_cell_length_a 5.7775
_cell_length_b 5.7775
_cell_length_c 5.1452
_cell_angle_alpha 90.00
_cell_angle_beta 90.00
_cell_angle_gamma 90.00
_symmetry_space_group_name_H-M 'P 4/m m m'
_symmetry_Int_Tables_number 123
_symmetry_space_group_name_Hall '-P 4 2'
loop_
_atom_site_label
_atom_site_type_symbol
_atom_site_fract_x
_atom_site_fract_y
_atom_site_fract_z
_atom_site_occupancy
Al1 Al 0.0000 0.0000 0.0000 1
Cr1 Cr 0.5000 0.5000 0.0000 1
In1 In 0.0000 0.0000 0.5000 1
Pb1 Pb 0.0000 0.5000 0.5000 1



Record 6
# NdSmOsAu | Alexandria | PBE | optimized geometry
# Uncorrected energy   -6.322 eV per atom
# Formation energy   -0.3239 eV/atom
data_NdSmOsAu
_cell_length_a 7.1809
_cell_length_b 7.1809
_cell_length_c 7.1809
_cell_angle_alpha 90.00
_cell_angle_beta 90.00
_cell_angle_gamma 90.00
_symmetry_space_group_name_H-M 'F -4 3 m'
_symmetry_Int_Tables_number 216
_symmetry_space_group_name_Hall 'F -4 2 3'
loop_
_atom_site_label
_atom_site_type_symbol
_atom_site_fract_x
_atom_site_fract_y
_atom_site_fract_z
_atom_site_occupancy
Nd1 Nd 0.0000 0.0000 0.0000 1
Sm1 Sm 0.0000 0.0000 0.5000 1
Os1 Os 0.2500 0.2500 0.2500 1
Au1 Au 0.2500 0.2500 0.7500 1



Record 7
# AsOsN2F | Alexandria | PBE | optimized geometry
# ΔE_f (raw)   323 kJ/mol of formula units
# Uncorrected energy   -6.210 eV per atom
data_AsOsN2F
_cell_length_a 3.8864
_cell_length_b 3.8864
_cell_length_c 4.1910
_cell_angle_alpha 90.00
_cell_angle_beta 90.00
_cell_angle_gamma 90.00
_symmetry_space_group_name_H-M 'P 4/m m m'
_symmetry_Int_Tables_number 123
_symmetry_space_group_name_Hall '-P 4 2'
loop_
_atom_site_label
_atom_site_type_symbol
_atom_site_fract_x
_atom_site_fract_y
_atom_site_fract_z
_atom_site_occupancy
As1 As 0.0000 0.0000 0.0000 1
Os1 Os 0.5000 0.5000 0.5000 1
N1 N 0.0000 0.5000 0.5000 1
F1 F 0.5000 0.5000 0.0000 1



Record 8
# ThGe2Pt7Pb2 | Alexandria | PBE | optimized geometry
# Uncorrected energy   -6.088 eV per atom
# Formation energy   -0.5582 eV/atom
data_ThGe2Pt7Pb2
_cell_length_a 5.7158
_cell_length_b 5.7120
_cell_length_c 16.1092
_cell_angle_alpha 90.00
_cell_angle_beta 100.19
_cell_angle_gamma 90.00
_symmetry_space_group_name_H-M 'C 1 2/m 1'
_symmetry_Int_Tables_number 12
loop_
_symmetry_equiv_pos_as_xyz
'x,y,z'
'-x,-y,-z'
'-x,y,-z'
'x,-y,z'
'x+1/2,y+1/2,z'
'-x+1/2,-y+1/2,-z'
'-x+1/2,y+1/2,-z'
'x+1/2,-y+1/2,z'
loop_
_atom_site_label
_atom_site_type_symbol
_atom_site_fract_x
_atom_site_fract_y
_atom_site_fract_z
_atom_site_occupancy
Th1 Th 0.0000 0.0000 0.0000 1
Ge1 Ge 0.1181 0.5000 0.2394 1
Pt1 Pt 0.0000 0.5000 0.0000 1
Pt2 Pt 0.1794 0.2499 0.8572 1
Pt3 Pt 0.1969 0.5000 0.3922 1
Pb1 Pb 0.2123 0.0000 0.4237 1



Q: Number 5 is which compound?
A: AlCrInPb2